## NdTmThCd (PBE)

Data for crystalline NdTmThCd at its relaxed geometry.

It has space group P4mm (No. 99), with a = 3.625 Å, b = 3.625 Å, c = 8.944 Å, α = 90.00°, β = 90.00° and γ = 90.00°. The asymmetric unit holds Nd at (0.000, 0.000, 0.000), Tm at (0.000, 0.000, 0.463), Th at (0.500, 0.500, 0.724) and Cd at (0.500, 0.500, 0.248).

The value obtained for the energy relative to the lowest polymorph listed for this composition is 0 meV per atom. The total magnetization comes out at 0.0 Bohr magnetons per cell. The mass density comes out at 9.3 g cm⁻³. The value obtained for the volume is 117.50 Å³ per cell. As for the energy of formation from the pure elements: -0.159 eV per atom. The calculation puts the final energy at -4.55 eV/atom.

***

## NdTmThCd (PBE)

Data for crystalline NdTmThCd at its relaxed geometry.

It has space group F-43m (No. 216), with a = 7.808 Å, b = 7.808 Å, c = 7.808 Å, α = 90.00°, β = 90.00° and γ = 90.00°. The asymmetric unit holds Nd at (0.000, 0.000, 0.000), Tm at (0.250, 0.250, 0.250), Th at (0.000, 0.000, 0.500) and Cd at (0.250, 0.250, 0.750).

The value obtained for the energy relative to the lowest polymorph listed for this composition is 188 meV per atom. The total magnetization comes out at 0.0 Bohr magnetons per cell. The mass density comes out at 9.2 g cm⁻³. The value obtained for the volume is 475.97 Å³ per cell. As for the energy of formation from the pure elements: 0.030 eV per atom. The calculation puts the final energy at -4.36 eV/atom.

***

## NdYThCd (PBE)

Data for crystalline NdYThCd at its relaxed geometry.

It has space group F-43m (No. 216), with a = 7.828 Å, b = 7.828 Å, c = 7.828 Å, α = 90.00°, β = 90.00° and γ = 90.00°. The asymmetric unit holds Nd at (0.000, 0.000, 0.000), Y at (0.000, 0.000, 0.500), Th at (0.250, 0.250, 0.750) and Cd at (0.250, 0.250, 0.250).

The total magnetization comes out at 0.0 Bohr magnetons per cell. The mass density comes out at 8.0 g cm⁻³. The value obtained for the volume is 479.67 Å³ per cell. As for the energy of formation from the pure elements: 0.086 eV per atom. The calculation puts the final energy at -4.81 eV/atom.

***

## NdThZnCd (PBE)

Data for crystalline NdThZnCd at its relaxed geometry.

It has space group F-43m (No. 216), with a = 7.537 Å, b = 7.537 Å, c = 7.537 Å, α = 90.00°, β = 90.00° and γ = 90.00°. The asymmetric unit holds Nd at (0.000, 0.000, 0.000), Th at (0.000, 0.000, 0.500), Zn at (0.250, 0.250, 0.750) and Cd at (0.250, 0.250, 0.250).

The total magnetization comes out at 0.0 Bohr magnetons per cell. The mass density comes out at 8.6 g cm⁻³. The value obtained for the volume is 428.19 Å³ per cell. As for the energy of formation from the pure elements: -0.166 eV per atom. The calculation puts the final energy at -3.76 eV/atom.

***

## NdTiCd (PBE)

Data for crystalline NdTiCd at its relaxed geometry.

It has space group P-6m2 (No. 187), with a = 3.2678 Å, b = 3.2678 Å, c = 15.7742 Å, α = 90.00°, β = 90.00° and γ = 120.00°. The asymmetric unit holds Nd at (0.0000, 0.0000, 0.1878), Ti at (0.3333, 0.6667, 0.3491), Cd at (0.0000, 0.0000, 0.5000) and Cd at (0.3333, 0.6667, 0.0000).

The total magnetization comes out at 0.0 Bohr magnetons per cell. The mass density comes out at 6.9 g cm⁻³. The value obtained for the volume is 145.85 Å³ per cell. As for the energy of formation from the pure elements: 0.206 eV per atom. The calculation puts the final energy at -4.32 eV/atom.

***

## NdTiCd2 (PBE)

Data for crystalline NdTiCd2 at its relaxed geometry.

It has space group P4/mmm (No. 123), with a = 3.489 Å, b = 3.489 Å, c = 7.660 Å, α = 90.00°, β = 90.00° and γ = 90.00°. The asymmetric unit holds Nd at (0.000, 0.000, 0.000), Ti at (0.000, 0.000, 0.500) and Cd at (0.500, 0.500, 0.294).

The total magnetization comes out at 0.4 Bohr magnetons per cell. The mass density comes out at 7.4 g cm⁻³. The value obtained for the volume is 93.22 Å³ per cell. As for the energy of formation from the pure elements: -0.057 eV per atom. The calculation puts the final energy at -3.68 eV/atom.

***

## Nd2TiCd (PBE)

Data for crystalline Nd2TiCd at its relaxed geometry.

It has space group P4/mmm (No. 123), with a = 3.479 Å, b = 3.479 Å, c = 8.951 Å, α = 90.00°, β = 90.00° and γ = 90.00°. The asymmetric unit holds Nd at (0.000, 0.000, 0.241), Ti at (0.500, 0.500, 0.000) and Cd at (0.500, 0.500, 0.500).

The value obtained for the energy relative to the lowest polymorph listed for this composition is 0 meV per atom. The total magnetization comes out at 0.0 Bohr magnetons per cell. The mass density comes out at 6.9 g cm⁻³. The value obtained for the volume is 108.34 Å³ per cell. As for the energy of formation from the pure elements: 0.030 eV per atom. The calculation puts the final energy at -4.56 eV/atom.

***

## Nd2TiCd (PBE)

Data for crystalline Nd2TiCd at its relaxed geometry.

It has space group R-3m (No. 166, hexagonal axes), with a = 3.2837 Å, b = 3.2837 Å, c = 35.1108 Å, α = 90.00°, β = 90.00° and γ = 120.00°. The asymmetric unit holds Nd at (0.0000, 0.0000, 0.0843), Ti at (0.0000, 0.0000, 0.0000) and Cd at (0.0000, 0.0000, 0.5000).

The value obtained for the energy relative to the lowest polymorph listed for this composition is 345 meV per atom. The total magnetization comes out at 3.7 Bohr magnetons per cell. The mass density comes out at 6.8 g cm⁻³. The value obtained for the volume is 327.87 Å³ per cell. As for the energy of formation from the pure elements: 0.375 eV per atom. The calculation puts the final energy at -4.21 eV/atom.

***

## Nd2Tl2Cd (PBE)

Data for crystalline Nd2Tl2Cd at its relaxed geometry.

It has space group P4/mbm (No. 127), with a = 7.868 Å, b = 7.868 Å, c = 4.746 Å, α = 90.00°, β = 90.00° and γ = 90.00°. The asymmetric unit holds Nd at (0.168, 0.332, 0.000), Tl at (0.137, 0.637, 0.500) and Cd at (0.000, 0.000, 0.500).

The value obtained for the energy relative to the lowest polymorph listed for this composition is 0 meV per atom. The total magnetization comes out at 0.0 Bohr magnetons per cell. The mass density comes out at 9.2 g cm⁻³. The value obtained for the volume is 293.86 Å³ per cell. As for the energy of formation from the pure elements: -0.318 eV per atom. The calculation puts the final energy at -3.35 eV/atom.

***

## Nd6Tl2Cd (PBE)

Data for crystalline Nd6Tl2Cd at its relaxed geometry.

It has space group P-3m1 (No. 164), with a = 5.5687 Å, b = 5.5687 Å, c = 10.5045 Å, α = 90.00°, β = 90.00° and γ = 120.00°. The asymmetric unit holds Nd at (0.0000, 0.0000, 0.1805), Nd at (0.3333, 0.6667, 0.0247), Nd at (0.3333, 0.6667, 0.3929), Tl at (0.3333, 0.6667, 0.7133) and Cd at (0.0000, 0.0000, 0.5000).

The value obtained for the energy relative to the lowest polymorph listed for this composition is 0 meV per atom. The total magnetization comes out at 0.0 Bohr magnetons per cell. The mass density comes out at 8.2 g cm⁻³. The value obtained for the volume is 282.10 Å³ per cell. As for the energy of formation from the pure elements: -0.230 eV per atom. The calculation puts the final energy at -4.04 eV/atom.

***

## Nd3Tl2Cd3 (PBE)

Data for crystalline Nd3Tl2Cd3 at its relaxed geometry.

It has space group P-62m (No. 189), with a = 7.6838 Å, b = 7.6838 Å, c = 4.5047 Å, α = 90.00°, β = 90.00° and γ = 120.00°. The asymmetric unit holds Nd at (0.0000, 0.6069, 0.0000), Tl at (0.3333, 0.6667, 0.5000) and Cd at (0.0000, 0.2260, 0.5000).

The value obtained for the energy relative to the lowest polymorph listed for this composition is 0 meV per atom. The total magnetization comes out at 0.0 Bohr magnetons per cell. The mass density comes out at 8.5 g cm⁻³. The value obtained for the volume is 230.33 Å³ per cell. As for the energy of formation from the pure elements: -0.281 eV per atom. The calculation puts the final energy at -3.00 eV/atom.

***

## NdTlCd6 (PBE)

Data for crystalline NdTlCd6 at its relaxed geometry.

It has space group Amm2 (No. 38), with a = 4.886 Å, b = 7.811 Å, c = 10.415 Å, α = 90.00°, β = 90.00° and γ = 90.00°. The asymmetric unit holds Nd at (0.000, 0.000, 0.000), Tl at (0.500, 0.000, 0.231), Cd at (0.000, 0.000, 0.430), Cd at (0.000, 0.195, 0.711), Cd at (0.500, 0.000, 0.799) and Cd at (0.500, 0.205, 0.510).

The total magnetization comes out at 0.0 Bohr magnetons per cell. The mass density comes out at 8.5 g cm⁻³. The value obtained for the volume is 397.50 Å³ per cell. As for the energy of formation from the pure elements: -0.136 eV per atom. The calculation puts the final energy at -1.71 eV/atom.